# 1
# PtNF3 (PBEsol, optimized geometry)
data_PtNF3
_cell_length_a 3.792
_cell_length_b 3.792
_cell_length_c 3.792
_cell_angle_alpha 90.00
_cell_angle_beta 90.00
_cell_angle_gamma 90.00
_space_group_name_H-M_alt 'P 1'
_space_group_IT_number 1
_space_group_name_Hall 'P 1'
loop_
_atom_site_label
_atom_site_type_symbol
_atom_site_fract_x
_atom_site_fract_y
_atom_site_fract_z
Pt1 Pt 0.000 0.000 0.000
N1 N 0.500 0.500 0.500
F1 F 0.000 0.500 0.500
F2 F 0.500 0.000 0.500
F3 F 0.500 0.500 0.000
# E_form (uncorrected): 0.989 eV/atom
# M_tot: 2.39 μB/cell

# 2
# RbPtN2F (PBEsol, optimized geometry)
data_RbPtN2F
_cell_length_a 3.725
_cell_length_b 3.725
_cell_length_c 6.377
_cell_angle_alpha 90.00
_cell_angle_beta 90.00
_cell_angle_gamma 90.00
_space_group_name_H-M_alt 'P 1'
_space_group_IT_number 1
_space_group_name_Hall 'P 1'
loop_
_atom_site_label
_atom_site_type_symbol
_atom_site_fract_x
_atom_site_fract_y
_atom_site_fract_z
Rb1 Rb 0.000 0.000 0.000
Pt1 Pt 0.500 0.500 0.500
N1 N 0.000 0.500 0.500
N2 N 0.500 0.000 0.500
F1 F 0.500 0.500 0.000
# E_form (uncorrected): -0.091 eV/atom
# M_tot: 0.00 μB/cell

# 3
# RePtN2F (PBEsol, optimized geometry)
data_RePtN2F
_cell_length_a 3.887
_cell_length_b 3.887
_cell_length_c 3.938
_cell_angle_alpha 90.00
_cell_angle_beta 90.00
_cell_angle_gamma 90.00
_space_group_name_H-M_alt 'P 1'
_space_group_IT_number 1
_space_group_name_Hall 'P 1'
loop_
_atom_site_label
_atom_site_type_symbol
_atom_site_fract_x
_atom_site_fract_y
_atom_site_fract_z
Re1 Re 0.000 0.000 0.000
Pt1 Pt 0.500 0.500 0.500
N1 N 0.000 0.500 0.000
N2 N 0.500 0.000 0.000
F1 F 0.000 0.000 0.500
# E_form (uncorrected): 0.553 eV/atom
# M_tot: 0.00 μB/cell